1.
# ScMnSi2 | the Alexandria database | GGA-PBE | relaxed
# Formation energy without anion corrections (eV/atom): -0.506
# Total energy (eV per atom): -7.093
# DOS(E_F) (states/eV per cell): 8.22
# Total moment (Bohr magnetons per cell): 0.000
data_ScMnSi2
_symmetry_space_group_name_H-M 'R -3 m'
_symmetry_Int_Tables_number 166
_symmetry_space_group_name_Hall '-R 3 2"'
_cell_length_a 3.9080
_cell_length_b 3.9080
_cell_length_c 13.5596
_cell_angle_alpha 90.00
_cell_angle_beta 90.00
_cell_angle_gamma 120.00
loop_
_atom_site_label
_atom_site_fract_x
_atom_site_fract_y
_atom_site_fract_z
Sc1 0.0000 0.0000 0.0000
Mn1 0.0000 0.0000 0.5000
Si1 0.0000 0.0000 0.2136

***

2.
# FeRh3N | the Alexandria database | GGA-PBE | relaxed
# Formation energy without anion corrections (eV/atom): 2.200
# E above lowest polymorph (meV/atom): 1950
# Total energy (eV per atom): -5.569
# DOS(E_F) (states/eV per cell): 7.48
# Total moment (Bohr magnetons per cell): 3.115
data_FeRh3N
_symmetry_space_group_name_H-M 'P m -3 m'
_symmetry_Int_Tables_number 221
_symmetry_space_group_name_Hall '-P 4 2 3'
_cell_length_a 4.4288
_cell_length_b 4.4288
_cell_length_c 4.4288
_cell_angle_alpha 90.00
_cell_angle_beta 90.00
_cell_angle_gamma 90.00
loop_
_atom_site_label
_atom_site_fract_x
_atom_site_fract_y
_atom_site_fract_z
Fe1 0.0000 0.0000 0.0000
Rh1 0.0000 0.0000 0.5000
N1 0.5000 0.5000 0.5000

***

3.
# PaMn4Mo | the Alexandria database | GGA-PBE | relaxed
# Formation energy (meV per atom): 103.6
# Total energy (eV per atom): -9.397
# DOS(E_F) (states/eV per cell): 38.58
# Total moment (Bohr magnetons per cell): 21.479
data_PaMn4Mo
_symmetry_space_group_name_H-M 'F -4 3 m'
_symmetry_Int_Tables_number 216
_symmetry_space_group_name_Hall 'F -4 2 3'
_cell_length_a 6.9964
_cell_length_b 6.9964
_cell_length_c 6.9964
_cell_angle_alpha 90.00
_cell_angle_beta 90.00
_cell_angle_gamma 90.00
loop_
_atom_site_label
_atom_site_fract_x
_atom_site_fract_y
_atom_site_fract_z
Pa1 0.0000 0.0000 0.0000
Mn1 0.1249 0.1249 0.3751
Mo1 0.2500 0.2500 0.7500

***

> What is the DOS(E_F) in the second record?

7.48 states/eV per cell

***

> Look up the total energy of the first one.

-7.093 eV per atom

***

> The highest DOS(E_F) belongs to which entry?

PaMn4Mo

***

> The highest total energy belongs to which entry?

FeRh3N